Density functional theory data (PBE) for an optimized crystal structure of IrPd3.

Summary:
The total energy comes out at -5.96 eV/atom.

a = 2.7669 Å, b = 4.5587 Å, c = 4.7995 Å
α = 90.00°, β = 90.00°, γ = 90.00°
Closest atoms and distances in Å follow each position.
Space group Pmm2 (No. 25)
Asymmetric unit:
1 Ir 0.0000 0.0000 0.0000 x1  2 Ir 2.77, 10 Pd 2.77-2.78
2 Pd 0.0000 0.5000 0.3287 x1  10 Pd 2.73-2.81, 2 Ir 2.77
3 Pd 0.5000 0.0000 0.5006 x1  8 Pd 2.77-2.80, 4 Ir 2.77
4 Pd 0.5000 0.5000 0.8378 x1  8 Pd 2.73-2.81, 4 Ir 2.78

***

Density functional theory data (PBE) for an optimized crystal structure of IrPd2.

Summary:
The total energy comes out at -6.28 eV/atom.

a = 2.7803 Å, b = 2.7803 Å, c = 11.6791 Å
α = 90.00°, β = 90.00°, γ = 90.00°
Closest atoms and distances in Å follow each position.
Space group I4/mmm (No. 139)
Asymmetric unit:
1 Ir 0.0000 0.0000 0.0000 x2  8 Pd 2.74, 4 Ir 2.78
2 Pd 0.0000 0.0000 0.3372 x4  4 Ir 2.74, 8 Pd 2.78-2.83

***

Density functional theory data (PBE) for an optimized crystal structure of Ir2Pd.

Summary:
For the relative energy among the computed polymorphs, the calculation gives 0.59 eV/f.u.

a = 2.7061 Å, b = 4.4111 Å, c = 7.7313 Å
α = 90.00°, β = 90.00°, γ = 90.00°
Closest atoms and distances in Å follow each position.
Space group Immm (No. 71)
Asymmetric unit:
1 Ir 0.0000 0.0000 0.1942 x4  4 Pd 2.67-2.72, 6 Ir 2.71-2.73
2 Pd 0.0000 0.5000 0.0000 x2  8 Ir 2.67-2.72, 2 Pd 2.71

***

Density functional theory data (PBE) for an optimized crystal structure of Ir5Pd.

Summary:
The total energy comes out at -8.16 eV/atom.

a = 3.8748 Å, b = 11.6947 Å, c = 3.8800 Å
α = 90.00°, β = 90.00°, γ = 90.00°
Closest atoms and distances in Å follow each position.
Space group Cmmm (No. 65)
Asymmetric unit:
1 Ir 0.0000 0.0000 0.0000 x2  4 Pd 2.74, 8 Ir 2.77-2.79
2 Ir 0.0000 0.1713 0.5000 x4  10 Ir 2.67-2.79, 2 Pd 2.79
3 Ir 0.0000 0.3309 0.0000 x4  10 Ir 2.69-2.77, 2 Pd 2.77
4 Pd 0.0000 0.5000 0.5000 x2  12 Ir 2.74-2.79

***

Density functional theory data (PBE) for an optimized crystal structure of IrPd3.

Summary:
The total energy comes out at -5.97 eV/atom.

a = 3.9383 Å, b = 3.9383 Å, c = 7.7657 Å
α = 90.00°, β = 90.00°, γ = 90.00°
Closest atoms and distances in Å follow each position.
Space group I4/mmm (No. 139)
Asymmetric unit:
1 Ir 0.0000 0.0000 0.0000 x2  12 Pd 2.77-2.78
2 Pd 0.0000 0.0000 0.5000 x2  8 Pd 2.77, 4 Ir 2.78
3 Pd 0.0000 0.5000 0.2500 x4  4 Ir 2.77, 8 Pd 2.77-2.78

***

Density functional theory data (PBE) for an optimized crystal structure of IrPd4.

Summary:
The total energy comes out at -4.68 eV/atom.

a = 4.7901 Å, b = 4.7901 Å, c = 4.7901 Å
α = 90.00°, β = 90.00°, γ = 90.00°
Closest atoms and distances in Å follow each position.
Space group Pm-3m (No. 221)
Asymmetric unit:
1 Ir 0.0000 0.0000 0.0000 x1  6 Pd 2.40
2 Pd 0.0000 0.0000 0.5000 x3  2 Ir 2.40
3 Pd 0.5000 0.5000 0.5000 x1  12 Pd 3.39

***

Density functional theory data (PBE) for an optimized crystal structure of IrPd8.

Summary:
The total energy comes out at -5.49 eV/atom.

a = 9.9337 Å, b = 9.9337 Å, c = 2.8131 Å
α = 90.00°, β = 90.00°, γ = 90.00°
Closest atoms and distances in Å follow each position.
Space group I4/mmm (No. 139)
Asymmetric unit:
1 Ir 0.0000 0.0000 0.0000 x2  8 Pd 2.70, 2 Ir 2.81
2 Pd 0.0000 0.3341 0.0000 x8  10 Pd 2.72-2.81
3 Pd 0.1644 0.1644 0.5000 x8  2 Ir 2.70, 8 Pd 2.74-2.81

***

Density functional theory data (PBE) for an optimized crystal structure of Ir4Pd.

Summary:
The total energy comes out at -5.59 eV/atom.

a = 4.6609 Å, b = 4.6609 Å, c = 4.6609 Å
α = 90.00°, β = 90.00°, γ = 90.00°
Closest atoms and distances in Å follow each position.
Space group Pm-3m (No. 221)
Asymmetric unit:
1 Ir 0.0000 0.0000 0.0000 x1  12 Ir 3.30
2 Ir 0.0000 0.5000 0.5000 x3  2 Pd 2.33
3 Pd 0.5000 0.5000 0.5000 x1  6 Ir 2.33

***

Density functional theory data (PBE) for an optimized crystal structure of IrPd3.

Summary:
The total energy comes out at -5.97 eV/atom.

a = 2.7659 Å, b = 9.1110 Å, c = 4.8050 Å
α = 90.00°, β = 90.00°, γ = 90.00°
Closest atoms and distances in Å follow each position.
Space group Imm2 (No. 44)
Asymmetric unit:
1 Ir 0.0000 0.0000 0.0000 x2  10 Pd 2.74-2.83, 2 Ir 2.77
2 Pd 0.0000 0.2551 0.6657 x4  3 Ir 2.74-2.83, 9 Pd 2.76-2.81
3 Pd 0.0000 0.5000 0.0049 x2  4 Ir 2.75-2.79, 8 Pd 2.76-2.81

***

Density functional theory data (PBE) for an optimized crystal structure of Pm6IrPd5.

Summary:
The total energy comes out at -6.04 eV/atom.

a = 16.1255 Å, b = 7.0851 Å, c = 5.1005 Å
α = 90.00°, β = 108.36°, γ = 90.00°
Closest atoms and distances in Å follow each position.
Space group C2/m (No. 12)
Asymmetric unit:
1 Pm 0.0000 0.2433 0.0000 x4  2 Ir 3.08, 6 Pd 3.13-3.14, 1 Pm 3.45
2 Pm 0.1631 0.2467 0.6632 x8  1 Ir 3.05, 7 Pd 3.07-3.13
3 Ir 0.0000 0.0000 0.5000 x2  8 Pm 3.05-3.08
4 Pd 0.0000 0.5000 0.5000 x2  8 Pm 3.07-3.13
5 Pd 0.1675 0.5000 0.1675 x4  8 Pm 3.12-3.14
6 Pd 0.1712 0.0000 0.1718 x4  8 Pm 3.09-3.14

***

Density functional theory data (PBE) for an optimized crystal structure of Pm5Ir2Pd2.

Summary:
For the relative energy among the computed polymorphs, the calculation gives 0.62 eV/f.u.

a = 17.3893 Å, b = 7.1171 Å, c = 7.4729 Å
α = 90.00°, β = 90.00°, γ = 90.00°
Closest atoms and distances in Å follow each position.
Space group Ima2 (No. 46)
Asymmetric unit:
1 Pm 0.0701 0.1761 0.0000 x8  2 Ir 2.87-2.99, 2 Pd 2.89-2.97
2 Pm 0.1518 0.6699 0.1560 x8  2 Pd 2.78-2.87, 2 Ir 2.92-2.94
3 Pm 0.2500 0.1379 0.2812 x4  2 Ir 2.78-2.95
4 Ir 0.0000 0.0000 0.6957 x4  6 Pm 2.87-2.99, 2 Pd 3.00
5 Ir 0.2500 0.5173 0.4405 x4  4 Pm 2.78-2.95
6 Pd 0.0756 0.5445 0.8377 x8  1 Pd 2.70, 4 Pm 2.78-2.97, 1 Ir 3.00

***

Density functional theory data (PBE) for an optimized crystal structure of Pm4IrPd2.

Summary:
For the relative energy among the computed polymorphs, the calculation gives 0.28 eV/f.u.

a = 5.0160 Å, b = 5.0160 Å, c = 24.8586 Å
α = 90.00°, β = 90.00°, γ = 120.00°
Closest atoms and distances in Å follow each position.
Space group R-3m (No. 166, hexagonal axes)
Asymmetric unit:
1 Pm 0.0000 0.0000 0.1219 x6  4 Pd 3.03-3.11, 1 Ir 3.03
2 Pm 0.0000 0.0000 0.3725 x6  3 Ir 3.06, 4 Pd 3.12
3 Ir 0.0000 0.0000 0.0000 x3  8 Pm 3.03-3.06
4 Pd 0.0000 0.0000 0.2470 x6  8 Pm 3.03-3.12

***

Density functional theory data (PBE) for an optimized crystal structure of Pm5IrPd2.

Summary:
The total energy comes out at -5.95 eV/atom.

a = 7.3288 Å, b = 7.3288 Å, c = 15.4960 Å
α = 90.00°, β = 90.00°, γ = 90.00°
Closest atoms and distances in Å follow each position.
Space group I4/mcm (No. 140)
Asymmetric unit:
1 Pm 0.0000 0.0000 0.0000 x4  4 Pd 2.87
2 Pm 0.1732 0.3268 0.1510 x16  3 Pd 3.10-3.25, 2 Ir 3.11, 1 Pm 3.46
3 Ir 0.0000 0.0000 0.2500 x4  8 Pm 3.11
4 Pd 0.1309 0.3691 0.5000 x8  1 Pd 2.71, 2 Pm 2.87

***

Density functional theory data (PBE) for an optimized crystal structure of Pm5Ir2Pd.

Summary:
The total energy comes out at -6.47 eV/atom.

a = 7.8276 Å, b = 7.8276 Å, c = 13.6532 Å
α = 90.00°, β = 90.00°, γ = 90.00°
Closest atoms and distances in Å follow each position.
Space group I4/mcm (No. 140)
Asymmetric unit:
1 Pm 0.0000 0.0000 0.0000 x4  4 Ir 3.04
2 Pm 0.1646 0.3354 0.1377 x16  3 Ir 2.90-3.02
3 Ir 0.1355 0.3645 0.5000 x8  8 Pm 2.90-3.04, 1 Ir 3.00
4 Pd 0.0000 0.0000 0.2500 x4  10 Pm 3.30-3.41

***

Density functional theory data (PBE) for an optimized crystal structure of Pm7Ir4Pd.

Summary:
The total energy comes out at -6.77 eV/atom.

a = 13.6167 Å, b = 4.0146 Å, c = 12.1860 Å
α = 90.00°, β = 104.81°, γ = 90.00°
Closest atoms and distances in Å follow each position.
Space group Cm (No. 8)
Asymmetric unit:
1 Pm 0.0000 0.0000 0.0000 x2  4 Ir 2.88-3.07, 1 Pd 2.93
2 Pm 0.0098 0.5000 0.2903 x2  3 Ir 2.83-3.03, 2 Pd 2.94
3 Pm 0.1051 0.5000 0.6012 x2  5 Ir 2.87-3.10
4 Pm 0.2181 0.0000 0.8616 x2  4 Ir 2.82-2.91
5 Pm 0.2648 0.5000 0.1441 x2  2 Ir 2.81, 2 Pd 2.94
6 Pm 0.3033 0.0000 0.4347 x2  3 Ir 2.79-2.89, 1 Pd 2.91
7 Pm 0.4161 0.5000 0.6926 x2  5 Ir 2.87-3.11
8 Ir 0.0587 0.5000 0.8372 x2  7 Pm 2.91-3.10
9 Ir 0.2606 0.0000 0.6469 x2  6 Pm 2.79-2.87
10 Ir 0.3769 0.0000 0.0699 x2  6 Pm 2.81-2.88
11 Ir 0.4592 0.5000 0.4538 x2  7 Pm 2.89-3.11
12 Pd 0.1422 0.0000 0.2256 x2  6 Pm 2.91-2.94

***

Density functional theory data (PBE) for an optimized crystal structure of Pm5Ir2Pd2.

Summary:
For the relative energy among the computed polymorphs, the calculation gives 0.00 eV/f.u.

a = 14.9245 Å, b = 7.7777 Å, c = 7.7509 Å
α = 90.00°, β = 90.00°, γ = 90.00°
Closest atoms and distances in Å follow each position.
Space group Cmce (No. 64)
Asymmetric unit:
1 Pm 0.0000 0.0000 0.0000 x4  4 Ir 3.04, 2 Pd 3.07
2 Pm 0.1321 0.1718 0.3335 x16  3 Ir 2.95-3.09, 3 Pd 3.05-3.11
3 Ir 0.0000 0.1312 0.6302 x8  1 Ir 2.87, 8 Pm 2.95-3.09
4 Pd 0.2055 0.0000 0.0000 x8  7 Pm 3.05-3.11

***

Density functional theory data (PBE) for an optimized crystal structure of PmIr4Pd.

Summary:
The total energy comes out at -7.77 eV/atom.

a = 7.4940 Å, b = 7.4940 Å, c = 7.4940 Å
α = 90.00°, β = 90.00°, γ = 90.00°
Closest atoms and distances in Å follow each position.
Space group F-43m (No. 216)
Asymmetric unit:
1 Pm 0.0000 0.0000 0.0000 x4  12 Ir 3.11, 4 Pd 3.25
2 Ir 0.1248 0.1248 0.3752 x16  6 Ir 2.65
3 Pd 0.2500 0.2500 0.7500 x4  12 Ir 3.11, 4 Pm 3.25

***

Density functional theory data (PBE) for an optimized crystal structure of Pm6IrPd2.

Summary:
The total energy comes out at -5.84 eV/atom.

a = 6.7328 Å, b = 7.5024 Å, c = 12.1561 Å
α = 90.00°, β = 120.82°, γ = 90.00°
Closest atoms and distances in Å follow each position.
Space group P2_1/c (No. 14)
Asymmetric unit:
1 Pm 0.0950 0.1835 0.4314 x4  1 Ir 2.77, 2 Pd 2.94-3.09
2 Pm 0.2553 0.6754 0.4272 x4  1 Ir 2.82, 2 Pd 2.98-3.04
3 Pm 0.4041 0.0429 0.2476 x4  1 Ir 2.81, 2 Pd 2.96-2.98
4 Ir 0.5000 0.0000 0.5000 x2  6 Pm 2.77-2.82
5 Pd 0.1744 0.1156 0.7351 x4  6 Pm 2.94-3.09

***

Density functional theory data (PBE) for an optimized crystal structure of Pm4Ir2Pd.

Summary:
The total energy comes out at -6.67 eV/atom.

a = 8.8944 Å, b = 8.8944 Å, c = 8.8525 Å
α = 90.00°, β = 90.00°, γ = 90.00°
Closest atoms and distances in Å follow each position.
Space group I-42d (No. 122)
Asymmetric unit:
1 Pm 0.0632 0.6861 0.4309 x16  2 Ir 2.83-2.87, 1 Pd 2.91
2 Ir 0.1298 0.7500 0.1250 x8  4 Pm 2.83-2.87
3 Pd 0.0000 0.0000 0.5000 x4  4 Pm 2.91

***

Density functional theory data (PBE) for an optimized crystal structure of Pm6Ir2Pd.

Summary:
The total energy comes out at -6.23 eV/atom.

a = 6.8374 Å, b = 7.3622 Å, c = 11.9124 Å
α = 90.00°, β = 120.30°, γ = 90.00°
Closest atoms and distances in Å follow each position.
Space group P2_1/c (No. 14)
Asymmetric unit:
1 Pm 0.0855 0.0553 0.2571 x4  1 Pd 2.84, 2 Ir 2.87-2.91
2 Pm 0.2679 0.6698 0.0858 x4  2 Ir 2.89-2.98, 1 Pd 2.90
3 Pm 0.4071 0.1831 0.0684 x4  1 Pd 2.82, 1 Ir 2.85
4 Ir 0.3253 0.1150 0.7782 x4  6 Pm 2.85-3.19
5 Pd 0.0000 0.0000 0.0000 x2  6 Pm 2.82-2.90

***

Density functional theory data (PBE) for an optimized crystal structure of Pm4IrPd3.

Summary:
The total energy comes out at -6.23 eV/atom.

a = 3.8593 Å, b = 4.5849 Å, c = 10.7817 Å
α = 90.00°, β = 90.00°, γ = 90.00°
Closest atoms and distances in Å follow each position.
Space group Pmm2 (No. 25)
Asymmetric unit:
1 Pm 0.0000 0.0000 0.0000 x1  2 Ir 3.03, 5 Pd 3.03-3.08
2 Pm 0.0000 0.5000 0.2663 x1  3 Pd 3.02-3.10, 4 Ir 3.04
3 Pm 0.5000 0.0000 0.4830 x1  1 Ir 2.88, 6 Pd 3.07-3.15
4 Pm 0.5000 0.5000 0.7652 x1  7 Pd 2.98-3.05
5 Ir 0.5000 0.0000 0.2162 x1  7 Pm 2.88-3.04, 2 Pd 2.97
6 Pd 0.0000 0.0000 0.7140 x1  2 Pd 2.92, 7 Pm 3.05-3.15
7 Pd 0.0000 0.5000 0.5468 x1  2 Pd 2.92, 7 Pm 3.02-3.07
8 Pd 0.5000 0.5000 0.0413 x1  2 Ir 2.97, 7 Pm 2.98-3.10

***

Density functional theory data (PBE) for an optimized crystal structure of Pm8IrPd2.

Summary:
For the relative energy among the computed polymorphs, the calculation gives 0.00 eV/f.u.

a = 17.8152 Å, b = 5.1760 Å, c = 6.8911 Å
α = 90.00°, β = 102.60°, γ = 90.00°
Closest atoms and distances in Å follow each position.
Space group C2/m (No. 12)
Asymmetric unit:
1 Pm 0.0324 0.0000 0.2879 x4  1 Pd 2.94, 2 Ir 3.09
2 Pm 0.0873 0.5000 0.9373 x4  1 Ir 3.08, 1 Pm 3.40
3 Pm 0.1642 0.5000 0.4731 x4  3 Pd 2.88-3.15, 1 Ir 2.97
4 Pm 0.2020 0.0000 0.8291 x4  1 Pd 2.86
5 Ir 0.0000 0.5000 0.5000 x2  8 Pm 2.97-3.09
6 Pd 0.1922 0.0000 0.2378 x4  5 Pm 2.86-3.15

***

Magnetization values, unit μB per cell, following the record order: 0.0, 0.0, 0.0, 0.0, 0.0, 1.0, 0.0, 4.2, 0.0, 0.0, 0.0, 0.0, 0.0, 0.0, 0.0, 0.0, 0.0, 0.0, 0.0, 0.0, 0.0, 0.0.
V values, unit A^3/atom, following the record order: 15.1, 15.0, 15.4, 14.7, 15.1, 22.0, 15.4, 20.3, 15.1, 23.0, 25.7, 25.8, 26.0, 26.1, 26.8, 25.0, 17.5, 29.3, 25.0, 28.8, 23.8, 28.2.
DOS(E_F) values, unit states/eV/f.u., following the record order: 8.91, 4.92, 3.74, 6.23, 7.32, 6.32, 14.04, 8.55, 7.62, 7.46, 4.82, 5.22, 8.22, 8.23, 7.30, 4.94, 10.98, 8.61, 1.83, 9.46, 5.58, 12.20.